1.
Crystalline Sn3HgAsAu at its relaxed geometry, computed with PBE-GGA.

Space group   No. 11
Formation energy   -33 meV/atom
N(E_F)   5.27 states/eV per cell

Structure (POSCAR):
```
Sn3HgAsAu
1.0
8.395 0.000 0.000
0.000 4.036 0.000
-1.078 0.000 9.007
Sn Hg As Au
6 2 2 2
Cartesian
0.645 1.009 1.665
0.829 1.009 4.997
2.254 3.027 8.051
5.063 1.009 0.956
6.488 3.027 4.010
6.671 3.027 7.342
2.812 3.027 2.339
4.504 1.009 6.668
0.261 1.009 7.909
7.055 3.027 1.098
2.789 3.027 5.246
4.528 1.009 3.761
```

***

2.
Crystalline CsRbIn3 at its relaxed geometry, computed with PBE-GGA.

Offset from the most stable computed form   617 meV/atom
Space group   No. 221
Formation energy   567 meV/atom
N(E_F)   7.39 states/eV per cell

Structure (POSCAR):
```
CsRbIn3
1.0
6.589 0.000 0.000
0.000 6.589 0.000
0.000 0.000 6.589
Cs Rb In
1 1 3
Cartesian
0.000 0.000 0.000
3.295 3.295 3.295
0.000 3.295 3.295
3.295 0.000 3.295
3.295 3.295 0.000
```

***

3.
Crystalline SrBeW2 at its relaxed geometry, computed with PBE-GGA.

Space group   No. 10
Formation energy   908 meV/atom
N(E_F)   2.90 states/eV per cell

Structure (POSCAR):
```
SrBeW2
1.0
3.438 0.000 0.000
0.000 4.198 0.000
-1.593 0.000 6.055
Sr Be W
1 1 2
Cartesian
0.000 0.000 0.000
0.922 0.000 3.027
0.063 2.099 3.887
1.781 2.099 2.168
```

***

4.
Crystalline MnCdTe2N at its relaxed geometry, computed with PBE-GGA.

ΔE_f (raw)   1154 meV/atom
Offset from the most stable computed form   1030 meV/atom
Space group   No. 123
N(E_F)   3.96 states/eV per cell

Structure (POSCAR):
```
MnCdTe2N
1.0
5.734 0.000 0.000
0.000 5.734 0.000
0.000 0.000 4.119
Mn Cd Te N
1 1 2 1
Cartesian
0.000 0.000 0.000
2.867 2.867 2.060
0.000 2.867 2.060
2.867 0.000 2.060
2.867 2.867 0.000
```

***

5.
Crystalline Na2ZnAsO4 at its relaxed geometry, computed with PBE-GGA.

ΔE_f (raw)   -1410 meV/atom
Space group   No. 82
N(E_F)   1.82 states/eV per cell

Structure (POSCAR):
```
Na2ZnAsO4
1.0
-2.613 2.613 4.265
2.613 -2.613 4.265
2.613 2.613 -4.265
Na Zn As O
2 1 1 4
Cartesian
0.000 0.000 0.000
0.000 2.613 2.133
0.000 0.000 4.265
2.613 0.000 2.133
1.408 -0.933 3.144
1.680 1.204 1.121
1.204 3.545 -1.121
0.933 1.408 5.386
```

***

6.
Crystalline Li2La2Cl7 at its relaxed geometry, computed with PBE-GGA.

ΔE_f (raw)   -1980 meV/atom
Space group   No. 12

Structure (POSCAR):
```
Li2La2Cl7
1.0
3.937 -6.076 0.000
3.937 6.076 0.000
-0.011 0.000 7.827
Li La Cl
2 2 7
Cartesian
1.739 0.000 0.012
6.124 0.000 7.815
3.931 4.104 3.914
3.931 -4.104 3.914
0.002 0.000 6.089
1.972 3.022 2.192
1.972 -3.022 2.192
3.937 0.000 0.000
5.891 3.022 5.635
5.891 -3.022 5.635
7.861 0.000 1.738
```

***

7.
Crystalline BaRe2Ru at its relaxed geometry, computed with PBE-GGA.

Offset from the most stable computed form   260 meV/atom
Space group   No. 47
Formation energy   838 meV/atom
N(E_F)   4.78 states/eV per cell

Structure (POSCAR):
```
BaRe2Ru
1.0
2.879 0.000 0.000
0.000 3.791 0.000
0.000 0.000 7.692
Ba Re Ru
1 2 1
Cartesian
0.000 0.000 0.000
1.440 1.895 2.617
1.440 1.895 5.074
0.000 0.000 3.846
```

***

8.
Crystalline Y3Ho2ScS6 at its relaxed geometry, computed with PBE-GGA.

ΔE_f (raw)   -1960 meV/atom
Space group   No. 12
N(E_F)   5.48 states/eV per cell

Structure (POSCAR):
```
Y3Ho2ScS6
1.0
8.431 -1.933 0.000
8.431 1.933 0.000
-1.812 0.000 7.559
Y Ho Sc S
3 2 1 6
Cartesian
0.000 0.000 0.000
4.392 0.000 5.029
10.657 0.000 2.530
5.330 0.000 1.269
9.719 0.000 6.290
-0.906 0.000 3.779
1.672 0.000 4.406
2.674 0.000 0.617
7.963 0.000 1.975
7.086 0.000 5.584
12.375 0.000 6.942
13.377 0.000 3.153
```

***

9.
Crystalline TaNb3Se at its relaxed geometry, computed with PBE-GGA.

ΔE_f (raw)   1406 meV/atom
Offset from the most stable computed form   692 meV/atom
Space group   No. 221
N(E_F)   3.15 states/eV per cell

Structure (POSCAR):
```
TaNb3Se
1.0
4.928 0.000 0.000
0.000 4.928 0.000
0.000 0.000 4.928
Ta Nb Se
1 3 1
Cartesian
0.000 0.000 0.000
0.000 0.000 2.464
0.000 2.464 0.000
2.464 0.000 0.000
2.464 2.464 2.464
```

***

10.
Crystalline Al2InSe at its relaxed geometry, computed with PBE-GGA.

ΔE_f (raw)   1 meV/atom
Offset from the most stable computed form   102 meV/atom
Space group   No. 44
N(E_F)   1.46 states/eV per cell

Structure (POSCAR):
```
Al2InSe
1.0
-1.713 2.553 4.904
1.713 -2.553 4.904
1.713 2.553 -4.904
Al In Se
2 1 1
Cartesian
0.000 0.000 0.000
0.000 2.553 2.614
1.713 0.000 2.791
0.000 0.000 5.627
```

***

11.
Crystalline MgIn4Pd7 at its relaxed geometry, computed with PBE-GGA.

Space group   No. 12
Formation energy   -390 meV/atom
N(E_F)   4.55 states/eV per cell

Structure (POSCAR):
```
MgIn4Pd7
1.0
5.576 -2.424 0.000
5.576 2.424 0.000
-4.973 0.000 8.351
Mg In Pd
1 4 7
Cartesian
0.000 0.000 0.000
-0.446 0.000 5.602
3.491 0.000 1.874
2.689 0.000 6.478
6.626 0.000 2.749
-0.783 0.000 2.708
-2.195 0.000 7.605
1.710 0.000 3.930
5.576 0.000 0.000
4.470 0.000 4.421
8.375 0.000 0.746
6.963 0.000 5.643
```

***

12.
Crystalline YTiIn2Pb at its relaxed geometry, computed with PBE-GGA.

Space group   No. 123
Formation energy   159 meV/atom
N(E_F)   2.65 states/eV per cell

Structure (POSCAR):
```
YTiIn2Pb
1.0
5.247 0.000 0.000
0.000 5.247 0.000
0.000 0.000 5.280
Y Ti In Pb
1 1 2 1
Cartesian
0.000 0.000 0.000
2.624 2.624 2.640
0.000 2.624 2.640
2.624 0.000 2.640
2.624 2.624 0.000
```

***

no.,DFT total energy (Ry/atom),total magnetization (μB/atom)
1,-0.250,0.000
2,-0.106,0.001
3,-0.509,0.000
4,-0.278,1.320
5,-0.365,0.000
6,-0.323,0.106
7,-0.602,0.000
8,-0.509,0.000
9,-0.566,0.000
10,-0.252,0.000
11,-0.328,0.000
12,-0.334,0.000